No. 1
First-principles (GGA-PBE) data for a geometry-optimized HfSi2AgB structure, as listed in the Alexandria database.

```
HfSi2AgB
1.0
4.311 0.000 0.000
0.000 4.239 0.000
0.000 0.000 4.311
Hf Si B Ag
1 2 1 1
Direct
0.500 0.500 0.500
0.500 0.000 0.000
0.000 0.000 0.500
0.000 0.000 0.000
0.000 0.500 0.000
```

Output
Density of states at the Fermi level in states/eV per atom: 0.766
ρ in g cm⁻³: 7.4
Formation energy without anion corrections in eV per atom: 0.561
Spin magnetization in Bohr magnetons per cell: 0.0


No. 2
First-principles (GGA-PBE) data for a geometry-optimized TiSi2Au structure, as listed in the Alexandria database.

```
TiSi2Au
1.0
6.910 0.000 0.000
0.000 6.910 0.000
3.455 3.455 2.871
Ti Si Au
2 4 2
Direct
0.500 0.500 0.000
0.250 0.750 0.500
0.875 0.892 0.750
0.375 0.358 0.750
0.108 0.625 0.250
0.642 0.125 0.250
0.000 0.000 0.000
0.750 0.250 0.500
```

Output
Density of states at the Fermi level in states/eV per atom: 0.697
ρ in g cm⁻³: 7.3
Formation energy without anion corrections in eV per atom: 0.061
Spin magnetization in Bohr magnetons per cell: 0.0


No. 3
First-principles (GGA-PBE) data for a geometry-optimized BaSNCl2 structure, as listed in the Alexandria database.

```
BaSNCl2
1.0
5.745 0.000 0.000
0.000 5.745 0.000
0.000 0.000 3.513
Cl Ba S N
2 1 1 1
Direct
0.000 0.500 0.000
0.500 0.000 0.000
0.500 0.500 0.500
0.000 0.000 0.500
0.000 0.000 0.000
```

Output
Density of states at the Fermi level in states/eV per atom: 0.605
ρ in g cm⁻³: 3.6
Polymorph energy (0 for the lowest one) in eV/atom: 0.000
Formation energy without anion corrections in eV per atom: -0.445
Spin magnetization in Bohr magnetons per cell: 0.0